No. 1
PmTmPdRu | PBE | optimized geometry

The structure in POSCAR format:
```
PmTmPdRu
1.0
0.0000 3.4730 3.4730
3.4730 0.0000 3.4730
3.4730 3.4730 0.0000
Pm Tm Pd Ru
1 1 1 1
direct
0.0000 0.0000 0.0000
0.5000 0.5000 0.5000
0.7500 0.7500 0.7500
0.2500 0.2500 0.2500
```

Offset from the most stable computed form, eV/atom: 0.0470
Total moment, μB/f.u.: 0.00
Formation enthalpy at 0 K, eV per atom: -0.583
D(E_F), states/eV/cell: 2.31

=====

No. 2
GaAg4 | PBE | optimized geometry

The structure in POSCAR format:
```
GaAg4
1.0
4.8053 0.0000 0.0000
0.0000 4.8531 0.0000
-2.9307 0.0000 8.6670
Ga Ag
2 8
direct
0.0000 0.0000 0.0000
0.0000 0.5000 0.5000
0.1671 0.2494 0.7758
0.1671 0.2506 0.2758
0.4533 0.7472 0.9078
0.4533 0.7528 0.4078
0.5467 0.2472 0.5922
0.5467 0.2528 0.0922
0.8329 0.7494 0.7242
0.8329 0.7506 0.2242
```

Total moment, μB/f.u.: 0.00
Formation enthalpy at 0 K, eV per atom: 0.147
D(E_F), states/eV/cell: 3.91

=====

No. 3
BaLa2Ir | PBE | optimized geometry

The structure in POSCAR format:
```
BaLa2Ir
1.0
-4.5939 4.5939 3.5055
4.5939 -4.5939 3.5055
4.5939 4.5939 -3.5055
Ba La Ir
2 4 2
direct
0.0000 0.0000 0.0000
0.7500 0.2500 0.5000
0.2254 0.6250 0.1004
0.3750 0.4754 0.6004
0.5246 0.1250 0.8996
0.8750 0.7746 0.3996
0.2500 0.7500 0.5000
0.5000 0.5000 0.0000
```

Offset from the most stable computed form, eV/atom: 0.2757
Total moment, μB/f.u.: 0.00
Formation enthalpy at 0 K, eV per atom: -0.186
D(E_F), states/eV/cell: 9.69

=====

No. 4
Cs2Pr2PaTe6 | PBE | optimized geometry

The structure in POSCAR format:
```
Cs2Pr2PaTe6
1.0
3.9759 -6.8529 0.0000
3.9759 6.8529 0.0000
-2.7280 0.0000 9.1867
Cs Pr Pa Te
2 2 1 6
direct
0.1700 0.8300 0.0000
0.8300 0.1700 0.0000
0.3329 0.6671 0.5000
0.6671 0.3329 0.5000
0.0000 0.0000 0.5000
0.0676 0.3880 0.6926
0.2562 0.2562 0.3086
0.3880 0.0676 0.6926
0.6120 0.9324 0.3074
0.7438 0.7438 0.6914
0.9324 0.6120 0.3074
```

Total moment, μB/f.u.: 1.07
Uncorrected formation energy, kJ per mole of atoms: -122.2
D(E_F), states/eV/cell: 2.73

=====

No. 5
Sm4CS2Cl | PBE | optimized geometry

The structure in POSCAR format:
```
Sm4CS2Cl
1.0
6.7652 0.0000 0.0000
0.0000 3.8879 0.0000
-2.2296 0.0000 6.6725
Sm C S Cl
4 1 2 1
direct
0.2226 0.0000 0.2126
0.2436 0.5000 0.7844
0.7564 0.5000 0.2156
0.7774 0.0000 0.7874
0.0000 0.5000 0.0000
0.5000 0.0000 0.0000
0.5000 0.5000 0.5000
0.0000 0.0000 0.5000
```

Total moment, μB/f.u.: 0.00
Uncorrected formation energy, kJ per mole of atoms: -142.3
D(E_F), states/eV/cell: 2.66

=====

No. 6
Ce2CdSi | PBE | optimized geometry

The structure in POSCAR format:
```
Ce2CdSi
1.0
3.8373 0.0000 0.0000
0.0000 3.8373 0.0000
0.0000 0.0000 6.7661
Ce Cd Si
2 1 1
direct
0.0000 0.0000 0.2023
0.0000 0.0000 0.7977
0.5000 0.5000 0.5000
0.5000 0.5000 0.0000
```

Total moment, μB/f.u.: 1.45
Uncorrected formation energy, kJ per mole of atoms: -38.2
D(E_F), states/eV/cell: 7.35